Entry 1:
The following is a DFT calculation (GGA-PBE) of LiAlSi after structural relaxation.

Output
- V: 17.8 Å³ per atom
- SG: No. 12

Structure (extended XYZ):
```
6
Lattice="20.280 0.000 -0.052 6.012 1.987 -1.337 -6.012 1.987 1.337" Properties=species:S:1:pos:R:3 pbc="T T T"
Al 0.179 1.987 1.320
Al 20.101 1.987 -1.371
Li -4.120 1.987 1.085
Li 24.400 1.987 -1.136
Si 5.373 1.987 1.285
Si 14.907 1.987 -1.337
```


Entry 2:
The following is a DFT calculation (GGA-PBE) of LiAl2Si after structural relaxation.

Output
- V: 15.1 Å³ per atom
- SG: No. 123

Structure (extended XYZ):
```
4
Lattice="-2.857 0.907 2.587 0.033 -3.727 1.343 2.672 0.965 2.613" Properties=species:S:1:pos:R:3 pbc="T T T"
Si 1.352 -1.381 1.978
Li -0.093 0.936 2.600
Al 0.000 0.000 0.000
Al -1.412 -1.410 1.965
```


Entry 3:
The following is a DFT calculation (GGA-PBE) of LiAl2Si after structural relaxation.

Output
- V: 16.1 Å³ per atom
- SG: No. 123

Structure (extended XYZ):
```
4
Lattice="-2.174 -0.963 -1.563 -0.322 -2.184 1.794 -5.045 4.321 4.355" Properties=species:S:1:pos:R:3 pbc="T T T"
Al -2.586 2.215 2.232
Al -4.982 4.266 4.300
Li -2.509 -0.494 1.205
Si -5.032 1.667 3.382
```


Entry 4:
The following is a DFT calculation (GGA-PBE) of LiAlSi after structural relaxation.

Output
- V: 16.2 Å³ per atom
- SG: No. 47

Structure (extended XYZ):
```
6
Lattice="7.883 0.000 0.000 0.000 4.237 0.000 0.000 0.000 2.907" Properties=species:S:1:pos:R:3 pbc="T T T"
Al 2.598 0.000 0.000
Al 5.285 0.000 0.000
Li 3.942 2.119 1.454
Li 0.000 0.000 1.454
Si 1.232 2.119 0.000
Si 6.652 2.119 0.000
```


Entry 5:
The following is a DFT calculation (GGA-PBE) of LiAl2Si after structural relaxation.

Output
- V: 15.4 Å³ per atom
- SG: No. 6

Structure (extended XYZ):
```
4
Lattice="4.074 0.000 0.000 0.000 2.688 -0.143 0.000 0.332 5.616" Properties=species:S:1:pos:R:3 pbc="T T T"
Si 2.037 0.570 4.139
Al 0.000 1.701 -0.085
Al 2.037 0.423 1.399
Li 0.000 1.836 2.757
```


Entry 6:
The following is a DFT calculation (GGA-PBE) of LiAlSi2 after structural relaxation.

Output
- V: 15.0 Å³ per atom
- SG: No. 99

Structure (extended XYZ):
```
4
Lattice="-1.359 2.817 1.238 -1.974 -1.836 2.012 3.712 0.136 3.767" Properties=species:S:1:pos:R:3 pbc="T T T"
Si 0.035 0.001 0.035
Si -0.771 0.523 2.533
Al 1.833 0.067 1.860
Li 1.139 0.593 4.471
```


Entry 7:
The following is a DFT calculation (GGA-PBE) of Li8Al3Si5 after structural relaxation.

Output
- V: 15.3 Å³ per atom
- SG: No. 215

Structure (extended XYZ):
```
16
Lattice="6.250 0.000 0.000 0.000 6.250 0.000 0.000 0.000 6.250" Properties=species:S:1:pos:R:3 pbc="T T T"
Si 1.541 1.541 1.541
Si 1.541 4.708 4.708
Si 3.125 3.125 3.125
Si 4.708 1.541 4.708
Si 4.708 4.708 1.541
Li 1.592 4.658 1.592
Li 4.658 4.658 4.658
Li 3.125 0.000 3.125
Li 0.000 3.125 3.125
Li 3.125 3.125 0.000
Li 4.658 1.592 1.592
Li 0.000 0.000 0.000
Li 1.592 1.592 4.658
Al 0.000 3.125 0.000
Al 0.000 0.000 3.125
Al 3.125 0.000 0.000
```


Entry 8:
The following is a DFT calculation (GGA-PBE) of LiAlSi after structural relaxation.

Output
- V: 17.4 Å³ per atom
- SG: No. 131

Structure (extended XYZ):
```
6
Lattice="4.119 0.000 0.000 0.000 4.119 0.000 0.000 0.000 6.168" Properties=species:S:1:pos:R:3 pbc="T T T"
Si 0.000 2.059 3.084
Si 2.059 0.000 0.000
Al 0.000 0.000 1.542
Al 0.000 0.000 4.626
Li 2.059 2.059 1.542
Li 2.059 2.059 4.626
```


Entry 9:
The following is a DFT calculation (GGA-PBE) of LiAlSi after structural relaxation.

Output
- V: 15.8 Å³ per atom
- SG: No. 107

Structure (extended XYZ):
```
3
Lattice="-0.418 4.182 -2.351 -1.580 0.120 -4.548 -1.239 -1.935 4.233" Properties=species:S:1:pos:R:3 pbc="T T T"
Si -1.318 2.836 -4.547
Al -0.022 0.048 -0.077
Li -0.659 1.418 -2.274
```


Entry 10:
The following is a DFT calculation (GGA-PBE) of LiAlSi after structural relaxation.

Output
- V: 18.0 Å³ per atom
- SG: No. 70

Structure (extended XYZ):
```
12
Lattice="4.294 5.891 0.000 0.000 5.891 4.258 4.294 0.000 4.258" Properties=species:S:1:pos:R:3 pbc="T T T"
Li 2.147 1.532 2.129
Li 4.294 7.305 4.258
Li 4.294 4.477 4.258
Li 2.147 4.359 2.129
Al 4.294 1.547 4.258
Al 6.441 10.383 6.387
Al 6.441 7.290 6.387
Al 4.294 10.235 4.258
Si 8.429 8.836 6.387
Si 4.454 8.836 6.387
Si 6.601 5.891 4.258
Si 1.988 5.891 4.258
```


Entry 11:
The following is a DFT calculation (GGA-PBE) of LiAlSi after structural relaxation.

Output
- V: 16.1 Å³ per atom
- SG: No. 187

Structure (extended XYZ):
```
3
Lattice="3.812 -2.201 0.000 0.000 4.402 0.000 0.000 0.000 2.876" Properties=species:S:1:pos:R:3 pbc="T T T"
Li 2.541 0.000 1.438
Al 0.000 0.000 0.000
Si 1.271 2.201 0.000
```


Entry 12:
The following is a DFT calculation (GGA-PBE) of LiAl2Si after structural relaxation.

Output
- V: 15.6 Å³ per atom
- SG: No. 65

Structure (extended XYZ):
```
4
Lattice="4.800 0.003 0.000 -1.747 4.471 0.000 0.000 0.000 2.913" Properties=species:S:1:pos:R:3 pbc="T T T"
Al 1.526 2.237 0.000
Al 0.000 0.000 0.000
Si -0.874 2.235 1.456
Li 2.400 0.002 1.456
```


Entry 13:
The following is a DFT calculation (GGA-PBE) of LiAlSi2 after structural relaxation.

Output
- V: 15.1 Å³ per atom
- SG: No. 35

Structure (extended XYZ):
```
4
Lattice="2.726 0.143 0.000 -0.460 2.691 0.000 0.000 0.000 8.172" Properties=species:S:1:pos:R:3 pbc="T T T"
Si 1.133 1.417 1.984
Si 0.000 0.000 0.029
Al 0.000 0.000 4.033
Li 1.133 1.417 6.212
```


Entry 14:
The following is a DFT calculation (GGA-PBE) of LiAlSi after structural relaxation.

Output
- V: 17.9 Å³ per atom
- SG: No. 44

Structure (extended XYZ):
```
9
Lattice="4.151 0.000 0.000 0.000 12.636 0.000 2.075 6.318 3.070" Properties=species:S:1:pos:R:3 pbc="T T T"
Al 4.151 12.636 3.048
Al 2.075 14.837 2.936
Al 2.075 10.435 2.936
Si 2.075 8.479 1.301
Si 2.075 12.636 1.597
Si 2.075 4.157 1.301
Li 4.151 16.937 2.912
Li 2.075 6.318 2.932
Li 4.151 8.335 2.912
```


Entry 15:
The following is a DFT calculation (GGA-PBE) of LiAl2Si after structural relaxation.

Output
- V: 18.1 Å³ per atom
- SG: No. 160

Structure (extended XYZ):
```
4
Lattice="-1.887 -1.077 -3.609 -1.788 -3.795 -0.392 -5.284 0.123 0.266" Properties=species:S:1:pos:R:3 pbc="T T T"
Al -2.037 -1.274 -1.013
Al -4.465 -0.230 -0.057
Li -4.608 -2.319 -1.817
Si -7.611 -3.178 -2.449
```


Entry 16:
The following is a DFT calculation (GGA-PBE) of LiAl2Si after structural relaxation.

Output
- V: 15.9 Å³ per atom
- SG: No. 216

Structure (extended XYZ):
```
4
Lattice="-2.169 -3.469 -1.822 -2.047 -2.993 2.630 -4.474 -0.168 0.140" Properties=species:S:1:pos:R:3 pbc="T T T"
Si -2.172 -1.658 0.237
Al -6.517 -4.973 0.710
Al 0.000 0.000 0.000
Li -4.345 -3.315 0.474
```


Entry 17:
The following is a DFT calculation (GGA-PBE) of LiAlSi after structural relaxation.

Output
- V: 18.0 Å³ per atom
- SG: No. 139

Structure (extended XYZ):
```
12
Lattice="9.800 0.000 0.000 0.000 9.800 0.000 4.900 4.900 2.251" Properties=species:S:1:pos:R:3 pbc="T T T"
Si 3.714 0.000 0.000
Si 0.000 6.086 0.000
Si 0.000 3.714 0.000
Si 6.086 0.000 0.000
Li 4.900 2.719 0.000
Li 2.719 4.900 0.000
Li 7.081 4.900 0.000
Li 4.900 7.081 0.000
Al 1.936 7.864 0.000
Al 1.936 1.936 0.000
Al 7.864 1.936 0.000
Al 7.864 7.864 0.000
```


Entry 18:
The following is a DFT calculation (GGA-PBE) of LiAlSi after structural relaxation.

Output
- V: 16.9 Å³ per atom
- SG: No. 186

Structure (extended XYZ):
```
6
Lattice="3.622 -2.091 0.000 0.000 4.182 0.000 0.000 0.000 6.712" Properties=species:S:1:pos:R:3 pbc="T T T"
Al 1.207 2.091 0.318
Al 2.415 0.000 3.674
Si 2.415 0.000 6.266
Si 1.207 2.091 2.910
Li 0.000 0.000 1.806
Li 0.000 0.000 5.162
```


Entry 19:
The following is a DFT calculation (GGA-PBE) of LiAl2Si after structural relaxation.

Output
- V: 15.3 Å³ per atom
- SG: No. 22

Structure (extended XYZ):
```
4
Lattice="4.969 0.019 -0.003 1.941 4.574 0.003 -3.453 -2.300 2.703" Properties=species:S:1:pos:R:3 pbc="T T T"
Si 0.971 2.286 1.353
Al 2.486 0.008 1.350
Al 0.001 0.001 0.000
Li 3.454 2.296 0.000
```


Entry 20:
The following is a DFT calculation (GGA-PBE) of LiAlSi after structural relaxation.

Output
- V: 16.7 Å³ per atom
- SG: No. 74

Structure (extended XYZ):
```
6
Lattice="-4.841 2.064 -0.469 -2.024 0.953 -4.703 0.902 -4.954 -1.329" Properties=species:S:1:pos:R:3 pbc="T T T"
Al -3.432 1.508 -2.586
Al -1.012 0.477 -2.351
Li -2.639 -0.495 -4.711
Li -3.323 -1.442 -1.789
Si -0.561 -2.000 -3.016
Si -2.420 1.032 -0.234
```


Number 1: raw formation energy -0.06 eV per atom, N(E_F) 0.8 states/eV/f.u.. Number 2: raw formation energy -0.06 eV per atom, N(E_F) 1.5 states/eV/f.u.. Number 3: raw formation energy 0.05 eV per atom, N(E_F) 1.5 states/eV/f.u.. Number 4: raw formation energy -0.02 eV per atom, N(E_F) 1.0 states/eV/f.u.. Number 5: raw formation energy -0.01 eV per atom, N(E_F) 0.8 states/eV/f.u.. Number 6: raw formation energy 0.11 eV per atom, N(E_F) 0.8 states/eV/f.u.. Number 7: raw formation energy -0.03 eV per atom, N(E_F) 9.4 states/eV/f.u.. Number 8: raw formation energy -0.06 eV per atom, N(E_F) 0.9 states/eV/f.u.. Number 9: raw formation energy 0.05 eV per atom, N(E_F) 1.2 states/eV/f.u.. Number 10: raw formation energy -0.15 eV per atom, N(E_F) 0.0 states/eV/f.u.. Number 11: raw formation energy -0.04 eV per atom, N(E_F) 0.9 states/eV/f.u.. Number 12: raw formation energy 0.00 eV per atom, N(E_F) 1.2 states/eV/f.u.. Number 13: raw formation energy 0.14 eV per atom, N(E_F) 1.1 states/eV/f.u.. Number 14: raw formation energy -0.16 eV per atom, N(E_F) 0.1 states/eV/f.u.. Number 15: raw formation energy 0.07 eV per atom, N(E_F) 1.2 states/eV/f.u.. Number 16: raw formation energy 0.10 eV per atom, N(E_F) 2.3 states/eV/f.u.. Number 17: raw formation energy 0.14 eV per atom, N(E_F) 1.5 states/eV/f.u.. Number 18: raw formation energy -0.19 eV per atom, N(E_F) 0.0 states/eV/f.u.. Number 19: raw formation energy -0.04 eV per atom, N(E_F) 1.1 states/eV/f.u.. Number 20: raw formation energy -0.04 eV per atom, N(E_F) 1.0 states/eV/f.u..